This record from Alexandria via LeMat-Bulk describes crystalline PuPdPt at its relaxed geometry. The functional is PBE-GGA.

a b c (Å): 2.926 4.751 4.751
angles (deg): 120.00 90.00 90.00
Sites, in units of the cell vectors:
Pt1 0.167 0.000 0.000
Pu1 0.667 0.667 0.333
Pd1 0.166 0.333 0.667

Results
ΔH_f (0 K), eV per formula unit: -1.58
Fermi-level density of states, states/eV/cell: 7.85
Calculated volume, A^3/atom: 19.070
Mass density, Mg/m³: 15.8